No. 1
The following is a PBE calculation of an optimized crystal structure of CaSiW2, from Alexandria.

Summary:
Formation energy (no corrections), meV/atom: 643

Lattice parameters (Å, degrees): 2.9157 2.9157 28.5616 90.00 90.00 120.00
Closest atoms and distances in Å follow each position.
Space group R-3m (No. 166, hexagonal axes)
Unique sites:
Ca 0.0000 0.0000 0.0000 x3  6 Ca 2.92, 6 W 3.18
Si 0.0000 0.0000 0.5000 x3  6 W 2.66, 6 Si 2.92
W 0.0000 0.0000 0.2390 x6  3 Si 2.66, 6 W 2.92

---

No. 2
The following is a PBE calculation of an optimized crystal structure of Pr5ZnIr2, from Alexandria.

Lattice parameters (Å, degrees): 8.0785 8.0785 13.6517 90.00 90.00 90.00
Closest atoms and distances in Å follow each position.
Space group I4/mcm (No. 140)
Unique sites:
Pr 0.0000 0.0000 0.0000 x4  4 Ir 3.14, 2 Zn 3.41
Pr 0.1631 0.3369 0.1360 x16  3 Ir 2.96-3.05
Zn 0.0000 0.0000 0.2500 x4  10 Pr 3.40-3.41
Ir 0.1353 0.3647 0.5000 x8  8 Pr 2.96-3.14, 1 Ir 3.09

---

No. 3
The following is a PBE calculation of an optimized crystal structure of Yb3Sc2Al3O12, from Alexandria.

Summary:
Formation energy (no corrections), meV/atom: -3078

Lattice parameters (Å, degrees): 12.4438 12.4438 12.4438 90.00 90.00 90.00
Closest atoms and distances in Å follow each position.
Space group Ia-3d (No. 230)
Unique sites:
Yb 0.0000 0.2500 0.1250 x24  8 O 2.37-2.47
Sc 0.0000 0.0000 0.0000 x16  6 O 2.11
Al 0.0000 0.2500 0.3750 x24  4 O 1.78
O 0.0317 0.0563 0.6568 x96  1 Al 1.78

---

No. 4
The following is a PBE calculation of an optimized crystal structure of KY2SiPd, from Alexandria.

Summary:
Formation energy (no corrections), meV/atom: 1247

Lattice parameters (Å, degrees): 5.3429 5.3429 4.7429 90.00 90.00 90.00
Closest atoms and distances in Å follow each position.
Space group P4/mmm (No. 123)
Unique sites:
K 0.0000 0.0000 0.0000 x1  2 Pd 2.37
Y 0.0000 0.5000 0.0000 x2  2 K 2.67
Si 0.5000 0.5000 0.5000 x1  8 Y 3.57, 4 Pd 3.78
Pd 0.0000 0.0000 0.5000 x1  2 K 2.37

---

Total magnetic moment? In order: 0.0 0.0 24.8 0.0 Bohr magnetons per cell.
Raw total energy? In order: -7.689 -5.815 -7.476 -3.681 eV per atom.
Density of states at the Fermi level? In order: 8.5 32.0 192.6 4.1 states/eV per cell.